Computed, not measured: a relaxed structure of Rb3Zn2Cl2F5 at the PBE-GGA level of DFT.

Crystal system: tetragonal
Raw formation energy in meV/atom: -2266
Spin magnetization in μB/cell: 0.000

Lattice parameters (Å, degrees): 4.409 4.409 23.728 90.00 90.00 90.00
Space group I4/mmm (No. 139)
One atom of each set of equivalent atoms:
Rb  0.000  0.000  0.000 x2
Rb  0.000  0.000  0.167 x4
Zn  0.000  0.000  0.415 x4
Cl  0.000  0.000  0.315 x4
F  0.000  0.000  0.500 x2
F  0.000  0.500  0.083 x8

Computed, not measured: a relaxed structure of Rb2ZrCl2F4 at the PBE-GGA level of DFT.

Crystal system: monoclinic
Raw formation energy in meV/atom: -2901
Spin magnetization in μB/cell: 0.000

Lattice parameters (Å, degrees): 12.663 6.359 5.374 90.00 94.10 90.00
Space group C2/m (No. 12)
One atom of each set of equivalent atoms:
Rb  0.140  0.000  0.141 x4
Zr  0.000  0.500  0.500 x2
Cl  0.184  0.500  0.337 x4
F  0.046  0.268  0.743 x8

Computed, not measured: a relaxed structure of Rb2ZrClF6 at the PBE-GGA level of DFT.

Crystal system: tetragonal
Raw formation energy in meV/atom: -2812
Spin magnetization in μB/cell: 2.000

Lattice parameters (Å, degrees): 6.791 6.791 10.157 90.00 90.00 90.00
Space group I4/mmm (No. 139)
One atom of each set of equivalent atoms:
Rb  0.000  0.500  0.250 x4
Zr  0.000  0.000  0.000 x2
Cl  0.000  0.000  0.500 x2
F  0.000  0.000  0.200 x4
F  0.212  0.212  0.000 x8

Computed, not measured: a relaxed structure of Rb2ZrCl4F2 at the PBE-GGA level of DFT.

Crystal system: monoclinic
Raw formation energy in meV/atom: -2421
Spin magnetization in μB/cell: 0.000

Lattice parameters (Å, degrees): 11.693 7.363 5.808 90.00 101.56 90.00
Space group C2/m (No. 12)
One atom of each set of equivalent atoms:
Rb  0.171  0.000  0.324 x4
Zr  0.000  0.500  0.000 x2
Cl  0.096  0.255  0.804 x8
F  0.139  0.500  0.270 x4